# 1
{"formula": "CuPOsS", "functional": "PBE", "state": "relaxed", "rho_g_cm3": 8.2, "spacegroup": "P1 (1)", "formation_energy_uncorrected_ev_per_atom": -0.041, "e_above_lowest_polymorph_mev_per_atom": 30.7, "magnetic_moment_mub_per_fu": 0.00, "final_energy_ev_per_atom": -6.257, "cell": [[3.6989, -0.0908, -0.0783], [-1.8011, 3.2798, -0.1068], [-0.4282, -0.4285, 5.3779]], "species": ["P", "Os", "Cu", "S"], "frac_coords": [[0.9172, 0.6118, 0.5784], [0.5502, 0.9126, 0.4335], [0.4867, 0.0041, 0.9021], [0.1548, 0.2344, 0.1467]]}

***

# 2
{"formula": "Ba2CaIrF", "functional": "PBE", "state": "relaxed", "rho_g_cm3": 4.0, "spacegroup": "P4/mmm (123)", "formation_energy_uncorrected_ev_per_atom": 0.047, "magnetic_moment_mub_per_fu": 0.00, "final_energy_ev_per_atom": -3.269, "cell": [[6.6829, 0.0000, 0.0000], [0.0000, 4.8507, 0.0000], [0.0000, 0.0000, 6.6829]], "species": ["Ca", "F", "Ba", "Ir", "Ba"], "frac_coords": [[0.0000, 0.0000, 0.0000], [0.5000, 0.5000, 0.5000], [0.5000, 0.0000, 0.0000], [0.0000, 0.5000, 0.0000], [0.0000, 0.0000, 0.5000]]}

***

# 3
{"formula": "Nd3ErPd12", "functional": "PBE", "state": "relaxed", "rho_g_cm3": 10.7, "spacegroup": "P4/mmm (123)", "ef_ev_per_atom": -0.799, "magnetic_moment_mub_per_fu": 0.00, "final_energy_ev_per_atom": -5.873, "cell": [[-4.0533, -0.6233, -0.7722], [0.7122, -4.0884, -0.4383], [-2.7763, -2.2398, 16.3801]], "species": ["Nd", "Pd", "Pd", "Pd", "Pd", "Pd", "Pd", "Er", "Nd", "Pd", "Pd", "Pd", "Pd", "Nd", "Pd", "Pd"], "frac_coords": [[0.0000, 0.0000, 0.7539], [0.0000, 0.5000, 0.1197], [0.5000, 0.0000, 0.6265], [0.0000, 0.5000, 0.8803], [0.0000, 0.5000, 0.6265], [0.5000, 0.0000, 0.1197], [0.5000, 0.5000, 0.5000], [0.0000, 0.0000, 0.0000], [0.0000, 0.0000, 0.2461], [0.5000, 0.0000, 0.3735], [0.5000, 0.5000, 0.0000], [0.5000, 0.5000, 0.7527], [0.5000, 0.5000, 0.2473], [0.0000, 0.0000, 0.5000], [0.0000, 0.5000, 0.3735], [0.5000, 0.0000, 0.8803]]}

***

# 4
{"formula": "Mn3InTe", "functional": "PBE", "state": "relaxed", "rho_g_cm3": 5.6, "spacegroup": "Pm-3m (221)", "formation_energy_uncorrected_ev_per_atom": 0.841, "e_above_lowest_polymorph_mev_per_atom": 0.0, "magnetic_moment_mub_per_fu": 10.35, "final_energy_ev_per_atom": -5.837, "cell": [[-0.6215, 2.0284, -4.4577], [3.6674, -2.7853, -1.7787], [-3.2458, -3.5354, -1.1562]], "species": ["Mn", "Te", "Mn", "In", "Mn"], "frac_coords": [[0.5000, 0.0000, 0.0000], [0.0000, 0.0000, 0.0000], [0.0000, 0.5000, 0.0000], [0.5000, 0.5000, 0.5000], [0.0000, 0.0000, 0.5000]]}

***

# 5
{"formula": "Li2NpSc2O6", "functional": "PBE", "state": "relaxed", "rho_g_cm3": 5.1, "spacegroup": "C2/m (12)", "formation_energy_uncorrected_ev_per_atom": -2.856, "magnetic_moment_mub_per_fu": 3.00, "final_energy_ev_per_atom": -8.236, "cell": [[-3.4575, -4.5442, -0.3413], [5.3401, -0.4489, 2.0008], [-2.2295, 2.3928, 4.1907]], "species": ["Np", "O", "O", "O", "Sc", "O", "Sc", "O", "Li", "Li", "O"], "frac_coords": [[0.0000, 0.0000, 0.5000], [0.7300, 0.7300, 0.6989], [0.5882, 0.9517, 0.2773], [0.4118, 0.0483, 0.7227], [0.6673, 0.3327, 0.5000], [0.9517, 0.5882, 0.2773], [0.3327, 0.6673, 0.5000], [0.2700, 0.2700, 0.3011], [0.7893, 0.2107, 0.0000], [0.2107, 0.7893, 0.0000], [0.0483, 0.4118, 0.7227]]}

***

# 6
{"formula": "Fe2SnN", "functional": "PBE", "state": "relaxed", "rho_g_cm3": 7.7, "spacegroup": "Fm-3m (225)", "formation_energy_uncorrected_ev_per_atom": 1.296, "magnetic_moment_mub_per_fu": 0.00, "final_energy_ev_per_atom": -6.017, "cell": [[1.0145, -0.5648, 4.0367], [-3.0206, -0.5302, 2.8703], [-0.5522, -3.7554, 1.7987]], "species": ["N", "Sn", "Fe", "Fe"], "frac_coords": [[0.0000, 0.0000, 0.0000], [0.5000, 0.5000, 0.5000], [0.7500, 0.7500, 0.7500], [0.2500, 0.2500, 0.2500]]}

***

# 7
{"formula": "ZrZnFe2", "functional": "PBE", "state": "relaxed", "rho_g_cm3": 7.6, "spacegroup": "P4/mmm (123)", "ef_ev_per_atom": -0.021, "magnetic_moment_mub_per_fu": 2.96, "final_energy_ev_per_atom": -6.708, "cell": [[-2.2607, -0.8132, 2.1576], [-1.9265, -0.9904, -2.3918], [2.2111, -5.1804, 0.3641]], "species": ["Fe", "Zn", "Zr", "Fe"], "frac_coords": [[0.0000, 0.0000, 0.0375], [0.5000, 0.5000, 0.2500], [0.5000, 0.5000, 0.7500], [0.0000, 0.0000, 0.4625]]}

***

# 8
{"formula": "BaInSCl2", "functional": "PBE", "state": "relaxed", "rho_g_cm3": 3.9, "spacegroup": "P4/mmm (123)", "formation_energy_uncorrected_ev_per_atom": -1.336, "e_above_lowest_polymorph_mev_per_atom": 0.0, "magnetic_moment_mub_per_fu": 0.00, "final_energy_ev_per_atom": -3.832, "cell": [[-5.3639, -0.0746, 0.3437], [0.1537, -5.2219, 1.2662], [0.3099, 1.2473, 5.1065]], "species": ["Cl", "Cl", "S", "In", "Ba"], "frac_coords": [[0.0000, 0.5000, 0.0000], [0.5000, 0.0000, 0.0000], [0.0000, 0.0000, 0.5000], [0.0000, 0.0000, 0.0000], [0.5000, 0.5000, 0.5000]]}